A plane-wave DFT calculation with PBE-GGA was carried out for a relaxed structure of SiBF.

Geometry as POSCAR:
```
SiBF
1.0
-1.0198 -1.6726 -5.9073
1.0834 -3.4211 0.7816
-5.5876 -0.3411 6.2524
Si B F
4 4 4
direct
0.0474 0.0000 0.9534
0.0474 0.5000 0.4534
0.5017 0.0000 0.0679
0.5017 0.5000 0.5679
0.5662 0.0000 0.8609
0.5662 0.5000 0.3609
0.6542 0.0000 0.7202
0.6542 0.5000 0.2202
0.1027 0.0000 0.1738
0.1027 0.5000 0.6738
0.0469 0.0000 0.4696
0.0469 0.5000 0.9696
```

Summary:
The value obtained for the energy relative to the elements, uncorrected is -0.78 eV per atom. The spin magnetization is 0.00 Bohr magnetons per cell.